Entry 1:
3
Lattice="0.000 3.713 3.713 3.713 0.000 3.713 3.713 3.713 0.000" Properties=species:S:1:pos:R:3 comment="BaTcAs, optimized geometry, DFT PBE" ef_mev_per_atom=1329 e_above_lowest_polymorph_mev_per_atom=1829 vol_a3_per_atom=34.1 final_energy_ev_per_atom=-4.32 magmom_total_mub_per_atom=1.5232 pbc="T T T"
Ba 0.000 0.000 0.000
Tc 1.856 1.856 1.856
As 5.569 5.569 5.569

=====

Entry 2:
5
Lattice="5.591 0.000 0.000 0.000 5.591 0.000 0.000 0.000 3.881" Properties=species:S:1:pos:R:3 comment="AsSeBr2F, optimized geometry, DFT PBE" e_form_raw_kj_per_mol_atoms=40 e_above_lowest_polymorph_mev_per_atom=278 vol_a3_per_atom=24.3 final_energy_ev_per_atom=-2.26 magmom_total_mub_per_atom=0.0767 pbc="T T T"
As 0.000 0.000 0.000
Se 2.795 2.795 0.000
Br 0.000 2.795 1.941
Br 2.795 0.000 1.941
F 2.795 2.795 1.941

=====

Entry 3:
5
Lattice="5.232 0.000 0.000 0.000 5.232 0.000 0.000 0.000 5.232" Properties=species:S:1:pos:R:3 comment="Mg3ScBr, optimized geometry, DFT PBE" e_form_raw_kj_per_mol_atoms=35 e_above_lowest_polymorph_mev_per_atom=0 vol_a3_per_atom=28.6 final_energy_ev_per_atom=-2.20 magmom_total_mub_per_atom=0.1924 pbc="T T T"
Mg 0.000 0.000 2.616
Mg 0.000 2.616 0.000
Mg 2.616 0.000 0.000
Sc 2.616 2.616 2.616
Br 0.000 0.000 0.000